# Rb3SbAu2, optimized geometry, DFT PBE
# - density of states at the Fermi level (states/eV/f.u.) = 0.2
# - size of the total moment (μB per formula unit) = 0.00
# - VASP energy (eV/atom) = -2.60
data_Rb3SbAu2
_chemical_formula_sum 'Rb12 Sb4 Au8'
_space_group_name_H-M_alt 'P 1 21/c 1'
_space_group_IT_number 14
_cell_length_a 6.916
_cell_length_b 13.333
_cell_length_c 11.678
_cell_angle_alpha 90.00
_cell_angle_beta 111.18
_cell_angle_gamma 90.00
loop_
_space_group_symop_operation_xyz
'x,y,z'
'-x,-y,-z'
'-x,y+1/2,-z+1/2'
'x,-y+1/2,z+1/2'
loop_
_atom_site_label
_atom_site_type_symbol
_atom_site_fract_x
_atom_site_fract_y
_atom_site_fract_z
Rb1 Rb 0.159 0.230 0.340
Rb2 Rb 0.237 0.604 0.974
Rb3 Rb 0.291 0.566 0.577
Sb1 Sb 0.451 0.692 0.324
Au1 Au 0.201 0.522 0.251
Au2 Au 0.339 0.136 0.651